Here is Al2NiBiP after structural relaxation from Alexandria. Energies are from GGA-PBE.

abc: 4.8119 4.8119 4.2273
angles: 90.00 90.00 90.00
Last column: nearest neighbours and their distance in Å.
Positions (direct):
Al (0.0000, 0.5000, 0.0000)  2 Ni 2.41
Al (0.5000, 0.0000, 0.0000)  2 Ni 2.41
Ni (0.0000, 0.0000, 0.0000)  2 P 2.11
Bi (0.5000, 0.5000, 0.5000)  8 Al 3.20, 4 P 3.40
P (0.0000, 0.0000, 0.5000)  2 Ni 2.11

- magnetization (μB per formula unit) = 0.000
- DFT formation energy (eV/atom) = 0.159

=====

Here is AlNi2BiRh after structural relaxation from Alexandria. Energies are from GGA-PBE.

abc: 4.2660 4.2660 5.3143
angles: 90.00 90.00 90.00
Last column: nearest neighbours and their distance in Å.
Positions (direct):
Al (0.0000, 0.0000, 0.0000)  4 Ni 2.13
Ni (0.0000, 0.5000, 0.0000)  2 Al 2.13
Ni (0.5000, 0.0000, 0.0000)  2 Al 2.13
Bi (0.0000, 0.0000, 0.5000)  2 Al 2.66
Rh (0.5000, 0.5000, 0.5000)  4 Bi 3.02

- magnetization (μB per formula unit) = 0.000
- DFT formation energy (eV/atom) = 0.912